# YFeHg2, optimized geometry, DFT PBE
data_YFeHg2
_space_group_name_H-M_alt 'P 4 m m'
_space_group_IT_number 99
_cell_length_a 3.477
_cell_length_b 3.477
_cell_length_c 7.185
_cell_angle_alpha 90.00
_cell_angle_beta 90.00
_cell_angle_gamma 90.00
loop_
_space_group_symop_operation_xyz
'x,y,z'
'-y,x,z'
'-x,-y,z'
'y,-x,z'
'-x,y,z'
'y,x,z'
'x,-y,z'
'-y,-x,z'
loop_
_atom_site_label
_atom_site_type_symbol
_atom_site_fract_x
_atom_site_fract_y
_atom_site_fract_z
Y1 Y 0.000 0.000 0.000
Fe1 Fe 0.500 0.500 0.239
Hg1 Hg 0.000 0.000 0.435
Hg2 Hg 0.500 0.500 0.709
# spin magnetization	2.21	μB/f.u.
# electronic total energy	-15.25	eV for the cell shown
# energy relative to the elements	0.0707	eV per atom